i.
NiB2Os (GGA-PBE, optimized geometry); spin magnetization = 0.0 μB per cell; N(E_F) = 1.55 states/eV/f.u.; SG = Fm-3m
1.0
1.126 -0.027 3.563
-1.969 -1.869 2.568
1.381 -3.132 1.499
Ni B Os
1 2 1
Cartesian
0.000 0.000 0.000
0.135 -1.257 1.907
0.404 -3.770 5.722
0.269 -2.514 3.815

ii.
NiB2Os (GGA-PBE, optimized geometry); spin magnetization = 0.0 μB per cell; N(E_F) = 0.09 states/eV/f.u.; SG = I-42d
1.0
4.575 0.000 0.000
0.000 4.575 0.000
2.287 2.287 4.666
Ni B Os
2 4 2
Cartesian
2.287 2.287 0.000
2.287 4.575 2.333
3.399 1.144 1.166
1.175 3.431 1.166
3.431 3.462 3.499
5.718 5.687 3.499
0.000 0.000 0.000
4.575 2.287 2.333

Order from most stable to least stable according to the calculation: i, ii

i.
NiBP3 (GGA-PBE, optimized geometry); spin magnetization = 0.0 μB per cell; N(E_F) = 1.98 states/eV/f.u.; SG = Pm-3m
1.0
4.012 0.000 0.000
0.000 4.012 0.000
0.000 0.000 4.012
Ni B P
1 1 3
Cartesian
2.006 2.006 2.006
0.000 0.000 0.000
0.000 2.006 0.000
0.000 0.000 2.006
2.006 0.000 0.000

ii.
NiBP3 (GGA-PBE, optimized geometry); spin magnetization = 0.0 μB per cell; N(E_F) = 4.19 states/eV/f.u.; SG = Pm-3m
1.0
4.342 0.000 0.000
0.000 4.342 0.000
0.000 0.000 4.342
Ni B P
1 1 3
Cartesian
0.000 0.000 0.000
2.171 2.171 2.171
0.000 2.171 0.000
0.000 0.000 2.171
2.171 0.000 0.000

Order from most stable to least stable according to the calculation: i, ii

i.
NiB3P (GGA-PBE, optimized geometry); spin magnetization = 0.0 μB per cell; N(E_F) = 2.18 states/eV/f.u.; SG = Pm-3m
1.0
3.816 0.000 0.000
0.000 3.816 0.000
0.000 0.000 3.816
Ni B P
1 3 1
Cartesian
0.000 0.000 0.000
0.000 1.908 0.000
0.000 0.000 1.908
1.908 0.000 0.000
1.908 1.908 1.908

ii.
NiB3P (GGA-PBE, optimized geometry); spin magnetization = 0.0 μB per cell; N(E_F) = 2.89 states/eV/f.u.; SG = Pm-3m
1.0
-1.877 -2.735 1.884
2.978 -0.427 2.347
-1.472 2.625 2.345
Ni B P
1 3 1
Cartesian
-0.186 -0.268 3.288
1.489 -0.213 1.173
-0.736 1.313 1.172
-0.939 -1.368 0.942
0.000 0.000 0.000

Order from most stable to least stable according to the calculation: i, ii